# Sr7TiN6

A relaxed structure of Sr7TiN6 (PBEsol, Alexandria).

Calculated values
ρ ... 4.720 Mg/m³
Formation energy (no corrections) ... -1237 kJ/mol of formula units

a = 6.595 Å, b = 11.566 Å, c = 13.750 Å
α = 90.00°, β = 90.00°, γ = 90.00°
Positions (direct):
N  0.737  0.374  0.293
N  0.763  0.126  0.793
N  0.611  0.443  0.647
N  0.263  0.626  0.707
N  0.111  0.057  0.647
N  0.910  0.665  0.498
N  0.889  0.057  0.147
N  0.590  0.165  0.502
N  0.389  0.443  0.147
N  0.410  0.165  0.002
N  0.090  0.335  0.502
N  0.263  0.374  0.793
N  0.389  0.557  0.353
N  0.111  0.943  0.853
N  0.763  0.874  0.707
N  0.910  0.335  0.002
N  0.611  0.557  0.853
N  0.737  0.626  0.207
N  0.410  0.835  0.498
N  0.237  0.874  0.207
N  0.237  0.126  0.293
N  0.889  0.943  0.353
N  0.090  0.665  0.998
N  0.590  0.835  0.998
Sr  0.735  0.963  0.522
Sr  0.610  0.294  0.880
Sr  0.235  0.537  0.522
Sr  0.265  0.037  0.478
Sr  0.890  0.206  0.380
Sr  0.055  0.500  0.250
Sr  0.337  0.733  0.873
Sr  0.163  0.233  0.127
Sr  0.445  0.000  0.750
Sr  0.235  0.463  0.978
Sr  0.110  0.794  0.620
Sr  0.390  0.294  0.380
Sr  0.265  0.963  0.022
Sr  0.110  0.206  0.880
Sr  0.765  0.463  0.478
Sr  0.765  0.537  0.022
Sr  0.390  0.706  0.120
Sr  0.555  0.000  0.250
Sr  0.337  0.267  0.627
Sr  0.837  0.233  0.627
Sr  0.837  0.767  0.873
Sr  0.610  0.706  0.620
Sr  0.890  0.794  0.120
Sr  0.163  0.767  0.373
Sr  0.945  0.500  0.750
Sr  0.663  0.733  0.373
Sr  0.735  0.037  0.978
Sr  0.663  0.267  0.127
Ti  0.561  0.500  0.250
Ti  0.061  0.000  0.250
Ti  0.939  0.000  0.750
Ti  0.439  0.500  0.750

=====

# SrTiN3

A relaxed structure of SrTiN3 (PBEsol, Alexandria).

Calculated values
ρ ... 4.577 Mg/m³
Formation energy (no corrections) ... -242 kJ/mol of formula units

a = 4.008 Å, b = 4.008 Å, c = 4.008 Å
α = 90.00°, β = 90.00°, γ = 90.00°
Positions (direct):
N  0.000  0.500  0.000
N  0.000  0.000  0.500
N  0.500  0.000  0.000
Ti  0.000  0.000  0.000
Sr  0.500  0.500  0.500

=====

# SrTlN2

A relaxed structure of SrTlN2 (PBEsol, Alexandria).

Calculated values
ρ ... 6.657 Mg/m³
Formation energy (no corrections) ... 403 kJ/mol of formula units

a = 3.679 Å, b = 3.679 Å, c = 7.134 Å
α = 75.06°, β = 75.06°, γ = 60.00°
Positions (direct):
Tl  0.500  0.500  0.500
N  0.115  0.115  0.655
N  0.885  0.885  0.345
Sr  0.000  0.000  0.000

=====

# Sr3VN3

A relaxed structure of Sr3VN3 (PBEsol, Alexandria).

Calculated values
ρ ... 4.377 Mg/m³
Formation energy (no corrections) ... -679 kJ/mol of formula units

a = 5.321 Å, b = 7.654 Å, c = 7.654 Å
α = 120.00°, β = 90.00°, γ = 90.00°
Positions (direct):
V  0.750  0.667  0.333
V  0.250  0.333  0.667
Sr  0.250  0.727  0.631
Sr  0.750  0.273  0.369
Sr  0.250  0.369  0.096
Sr  0.750  0.631  0.904
Sr  0.750  0.096  0.727
Sr  0.250  0.904  0.273
N  0.750  0.877  0.291
N  0.250  0.123  0.709
N  0.250  0.586  0.877
N  0.750  0.414  0.123
N  0.250  0.291  0.414
N  0.750  0.709  0.586

=====

# SrWN3

A relaxed structure of SrWN3 (PBEsol, Alexandria).

Calculated values
ρ ... 6.703 Mg/m³
Formation energy (no corrections) ... -362 kJ/mol of formula units

a = 3.745 Å, b = 6.089 Å, c = 7.336 Å
α = 105.65°, β = 104.79°, γ = 90.00°
Positions (direct):
W  0.842  0.123  0.684
W  0.158  0.877  0.316
Sr  0.405  0.700  0.811
Sr  0.595  0.300  0.189
N  0.309  0.999  0.618
N  0.134  0.573  0.267
N  0.965  0.053  0.931
N  0.035  0.947  0.069
N  0.866  0.427  0.733
N  0.691  0.001  0.382

=====

# SrWN3

A relaxed structure of SrWN3 (PBEsol, Alexandria).

Calculated values
ρ ... 7.361 Mg/m³
Formation energy (no corrections) ... -374 kJ/mol of formula units

a = 3.659 Å, b = 6.283 Å, c = 6.582 Å
α = 109.54°, β = 96.49°, γ = 90.90°
Positions (direct):
Sr  0.033  0.920  0.358
Sr  0.968  0.388  0.890
W  0.443  0.895  0.871
W  0.521  0.419  0.366
N  0.034  0.489  0.313
N  0.537  0.244  0.533
N  0.919  0.870  0.734
N  0.484  0.718  0.036
N  0.619  0.757  0.572
N  0.491  0.195  0.057

=====

Question: Look up the ρ of the third one.
Answer: 6.657 Mg/m³

=====

Question: What is the formation energy (no corrections) in the fifth record?
Answer: -362 kJ/mol of formula units